Material: Ba2NpSi3Pt12
Method: DFT, GGA-PBE
State: relaxed

Unit cell a=8.3336 b=8.3336 c=19.4968 alpha=90.00 beta=90.00 gamma=120.00
Space group R-3m (No. 166, hexagonal axes)
Symmetry-distinct sites (fractional):
1 Ba 0.0000 0.0000 0.1041 x6
2 Np 0.0000 0.0000 0.5000 x3
3 Si 0.0000 0.5000 0.0000 x9
4 Pt 0.0096 0.5048 0.8780 x18
5 Pt 0.0445 0.5223 0.3654 x18

Results
Uncorrected energy ... -336.9 eV per cell
ΔE_f (raw) ... -376 meV per atom
DOS at the Fermi energy ... 41.8 states/eV/cell